Record 1
Density functional theory data (GGA-PBE) for crystalline K2DyBiS4 at its relaxed geometry.

abc: 4.101 7.142 7.749
angles: 107.68 90.00 90.00
Sites, in units of the cell vectors:
K 0.000 0.500 0.500
Dy 0.500 0.500 0.000
S 0.000 0.727 0.203
S 0.500 0.244 0.208
S 0.000 0.273 0.797
K 0.500 0.000 0.500
Bi 0.000 0.000 0.000
S 0.500 0.756 0.792

Computed properties:
formation energy (no corrections) = -1.347 eV/atom
density of states at the Fermi level = 0.0 states/eV per cell
space group = P2/m, No. 10
raw total energy = -4.746 eV/atom

=====

Record 2
Density functional theory data (GGA-PBE) for crystalline PrPaSnPb at its relaxed geometry.

abc: 5.468 5.468 5.468
angles: 60.00 60.00 60.00
Sites, in units of the cell vectors:
Pb 0.750 0.750 0.750
Pr 0.500 0.500 0.500
Pa 0.000 0.000 0.000
Sn 0.250 0.250 0.250

Computed properties:
energy relative to the elements = -0.169 eV per atom
density of states at the Fermi level = 6.9 states/eV per cell
space group = F-43m, No. 216
raw total energy = -5.665 eV/atom

=====

Record 3
Density functional theory data (GGA-PBE) for crystalline Al2TcBr at its relaxed geometry.

abc: 3.086 3.086 7.806
angles: 90.00 90.00 90.00
Sites, in units of the cell vectors:
Al 0.500 0.500 0.192
Tc 0.500 0.500 0.780
Al 0.000 0.000 0.967
Br 0.000 0.000 0.562

Computed properties:
formation energy (no corrections) = 0.254 eV/atom
density of states at the Fermi level = 3.4 states/eV per cell
space group = P4mm, No. 99
raw total energy = -4.627 eV/atom

=====

Record 4
Density functional theory data (GGA-PBE) for crystalline Ba2MoOs at its relaxed geometry.

abc: 4.283 4.287 5.469
angles: 90.00 90.00 90.00
Sites, in units of the cell vectors:
Ba 0.500 0.500 0.000
Ba 0.000 0.000 0.000
Os 0.000 0.500 0.500
Mo 0.500 0.000 0.500

Computed properties:
energy relative to the elements = 1.478 eV per atom
density of states at the Fermi level = 4.2 states/eV per cell
space group = P4/mmm, No. 123
raw total energy = -4.999 eV/atom

=====

Record 5
Density functional theory data (GGA-PBE) for crystalline La3FeH at its relaxed geometry.

abc: 4.893 4.893 4.893
angles: 90.00 90.00 90.00
Sites, in units of the cell vectors:
La 0.000 0.000 0.500
La 0.500 0.000 0.000
La 0.000 0.500 0.000
H 0.000 0.000 0.000
Fe 0.500 0.500 0.500

Computed properties:
density of states at the Fermi level = 9.3 states/eV per cell
space group = Pm-3m, No. 221
raw total energy = -5.012 eV/atom

=====

Record 6
Density functional theory data (GGA-PBE) for crystalline BaGe2Cl8 at its relaxed geometry.

abc: 7.938 7.497 7.497
angles: 56.84 74.89 74.89
Sites, in units of the cell vectors:
Cl 0.226 0.892 0.366
Ba 0.000 0.000 0.000
Ge 0.309 0.220 0.220
Ge 0.691 0.780 0.780
Cl 0.774 0.108 0.634
Cl 0.872 0.596 0.596
Cl 0.226 0.366 0.892
Cl 0.128 0.404 0.404
Cl 0.623 0.164 0.164
Cl 0.774 0.634 0.108
Cl 0.377 0.836 0.836

Computed properties:
formation energy (no corrections) = -1.150 eV/atom
space group = C2/m, No. 12
raw total energy = -3.508 eV/atom

=====

Record 7
Density functional theory data (GGA-PBE) for crystalline ZnSb2TeBr at its relaxed geometry.

abc: 5.530 5.530 5.828
angles: 90.00 90.00 90.00
Sites, in units of the cell vectors:
Te 0.000 0.000 0.500
Zn 0.500 0.500 0.500
Br 0.000 0.000 0.000
Sb 0.000 0.500 0.000
Sb 0.500 0.000 0.000

Computed properties:
formation energy (no corrections) = 0.979 eV/atom
density of states at the Fermi level = 7.1 states/eV per cell
space group = P4/mmm, No. 123
raw total energy = -1.888 eV/atom

=====

Record 8
Density functional theory data (GGA-PBE) for crystalline K2RbNiAs2 at its relaxed geometry.

abc: 6.951 8.754 8.635
angles: 120.46 113.73 90.00
Sites, in units of the cell vectors:
K 0.806 0.467 0.613
As 0.941 0.277 0.882
Ni 0.250 0.500 0.000
Ni 0.750 0.500 0.000
As 0.559 0.395 0.118
As 0.441 0.605 0.882
K 0.694 0.854 0.387
Rb 0.250 0.000 0.000
As 0.059 0.723 0.118
K 0.194 0.533 0.387
Rb 0.750 0.000 0.000
K 0.306 0.146 0.613

Computed properties:
energy relative to the elements = -0.241 eV per atom
density of states at the Fermi level = 5.8 states/eV per cell
space group = Ibam, No. 72
raw total energy = -3.281 eV/atom

=====

Record 9
Density functional theory data (GGA-PBE) for crystalline BaB3W at its relaxed geometry.

abc: 4.391 4.391 4.391
angles: 90.00 90.00 90.00
Sites, in units of the cell vectors:
B 0.000 0.000 0.500
B 0.000 0.500 0.000
B 0.500 0.000 0.000
W 0.000 0.000 0.000
Ba 0.500 0.500 0.500

Computed properties:
energy relative to the elements = 0.484 eV per atom
density of states at the Fermi level = 1.7 states/eV per cell
space group = Pm-3m, No. 221
raw total energy = -6.498 eV/atom

=====

Record 10
Density functional theory data (GGA-PBE) for crystalline AcRuRh4S8 at its relaxed geometry.

abc: 7.246 7.246 7.371
angles: 60.56 60.56 60.00
Sites, in units of the cell vectors:
S 0.760 0.760 0.721
S 0.209 0.756 0.278
S 0.209 0.808 0.774
S 0.209 0.209 0.774
Rh 0.632 0.632 0.104
S 0.808 0.209 0.774
Ru 0.988 0.988 0.035
Rh 0.997 0.483 0.523
Rh 0.997 0.997 0.523
S 0.225 0.225 0.325
Rh 0.483 0.997 0.523
S 0.756 0.209 0.278
Ac 0.470 0.470 0.590
S 0.756 0.756 0.278

Computed properties:
formation energy (no corrections) = -0.545 eV/atom
density of states at the Fermi level = 9.8 states/eV per cell
space group = R3m, No. 160
raw total energy = -5.960 eV/atom

=====

Record 11
Density functional theory data (GGA-PBE) for crystalline Ac3Nd2Tm at its relaxed geometry.

abc: 6.646 6.647 12.234
angles: 90.00 90.00 120.00
Sites, in units of the cell vectors:
Ac 0.331 0.331 0.250
Ac 0.000 0.669 0.250
Ac 0.669 0.000 0.250
Nd 0.333 0.667 0.000
Nd 0.667 0.333 0.000
Ac 0.669 0.669 0.750
Ac 0.331 0.000 0.750
Tm 0.000 0.000 0.000
Ac 0.000 0.331 0.750
Nd 0.667 0.333 0.500
Tm 0.000 0.000 0.500
Nd 0.333 0.667 0.500

Computed properties:
energy relative to the elements = 0.062 eV per atom
density of states at the Fermi level = 14.3 states/eV per cell
space group = P6_3/mcm, No. 193
raw total energy = -4.327 eV/atom

=====

Record 12
Density functional theory data (GGA-PBE) for crystalline TbGa3Co3 at its relaxed geometry.

abc: 6.383 6.383 6.383
angles: 90.00 90.00 90.00
Sites, in units of the cell vectors:
Ga 0.250 0.000 0.500
Ga 0.000 0.500 0.750
Ga 0.500 0.750 0.000
Tb 0.000 0.000 0.000
Ga 0.000 0.500 0.250
Co 0.000 0.750 0.500
Co 0.250 0.500 0.000
Co 0.500 0.000 0.250
Co 0.000 0.250 0.500
Ga 0.500 0.250 0.000
Co 0.750 0.500 0.000
Ga 0.750 0.000 0.500
Tb 0.500 0.500 0.500
Co 0.500 0.000 0.750

Computed properties:
energy relative to the elements = 0.198 eV per atom
density of states at the Fermi level = 9.8 states/eV per cell
space group = Pm-3n, No. 223
raw total energy = -4.806 eV/atom

=====

raw total energy of number 6 (BaGe2Cl8)? -3.508 eV/atom

=====

The highest raw total energy belongs to which entry? ZnSb2TeBr

=====

Look up the raw total energy of the eighth one. -3.281 eV/atom

=====

Among the records above, which one has the highest raw total energy? ZnSb2TeBr